Entry 1:
! LiCrOs2Pb (PBEsol, optimized geometry); values from VASP
! Energy relative to the elements ... 11.4 eV/f.u.
&SYSTEM
  ibrav = 0, nat = 5, ntyp = 4
/
ATOMIC_SPECIES
Pb 207.20 Pb.upf
Cr 52.00 Cr.upf
Os 190.23 Os.upf
Li 6.94 Li.upf
ATOMIC_POSITIONS crystal
Pb 0.000 0.000 0.000
Cr 0.500 0.500 0.500
Os 0.000 0.000 0.500
Os 0.000 0.500 0.000
Li 0.500 0.000 0.000
CELL_PARAMETERS angstrom
4.465 0.000 0.000
0.000 4.931 0.000
0.000 0.000 4.931

Entry 2:
! PC (PBEsol, optimized geometry); values from VASP
! Energy relative to the elements ... 3.1 eV/f.u.
! Relative energy among the computed polymorphs ... 421.6 meV/atom
&SYSTEM
  ibrav = 0, nat = 8, ntyp = 2
/
ATOMIC_SPECIES
P 30.97 P.upf
C 12.01 C.upf
ATOMIC_POSITIONS crystal
P 0.000 0.000 0.750
P 0.000 0.000 0.250
P 0.667 0.333 0.250
P 0.333 0.667 0.750
C 0.667 0.333 0.880
C 0.333 0.667 0.380
C 0.333 0.667 0.120
C 0.667 0.333 0.620
CELL_PARAMETERS angstrom
4.532 0.000 0.000
-2.266 3.925 0.000
0.000 0.000 4.979

Entry 3:
! BaTi14O28 (PBEsol, optimized geometry); values from VASP
! E_form (uncorrected) ... -3.05 eV per atom
&SYSTEM
  ibrav = 0, nat = 86, ntyp = 3
/
ATOMIC_SPECIES
Ba 137.33 Ba.upf
Ti 47.87 Ti.upf
O 16.00 O.upf
ATOMIC_POSITIONS crystal
Ba 0.714 0.785 0.714
Ba 0.286 0.215 0.286
Ti 0.311 0.486 0.832
Ti 0.161 0.627 0.692
Ti 0.036 0.140 0.848
Ti 0.879 0.271 0.702
Ti 0.547 0.302 0.727
Ti 0.261 0.585 0.440
Ti 0.391 0.432 0.580
Ti 0.266 0.945 0.738
Ti 0.118 0.085 0.596
Ti 0.965 0.227 0.456
Ti 0.035 0.773 0.544
Ti 0.882 0.915 0.404
Ti 0.739 0.415 0.560
Ti 0.609 0.568 0.420
Ti 0.121 0.729 0.298
Ti 0.964 0.860 0.152
Ti 0.839 0.373 0.308
Ti 0.689 0.514 0.168
Ti 0.734 0.055 0.262
Ti 0.602 0.199 0.115
Ti 0.453 0.344 0.978
Ti 0.453 0.698 0.273
Ti 0.312 0.846 0.132
Ti 0.168 0.987 0.989
Ti 0.832 0.013 0.011
Ti 0.688 0.154 0.868
Ti 0.547 0.656 0.022
Ti 0.398 0.801 0.885
O 0.195 0.618 0.834
O 0.096 0.321 0.800
O 0.954 0.461 0.658
O 0.456 0.372 0.834
O 0.316 0.518 0.689
O 0.111 0.052 0.738
O 0.971 0.196 0.596
O 0.481 0.618 0.528
O 0.619 0.477 0.667
O 0.761 0.327 0.810
O 0.474 0.110 0.770
O 0.332 0.250 0.628
O 0.189 0.390 0.478
O 0.046 0.539 0.342
O 0.048 0.760 0.692
O 0.907 0.902 0.550
O 0.381 0.812 0.737
O 0.234 0.953 0.594
O 0.952 0.240 0.308
O 0.093 0.098 0.450
O 0.811 0.610 0.522
O 0.809 0.093 0.760
O 0.519 0.382 0.472
O 0.665 0.244 0.618
O 0.381 0.523 0.333
O 0.029 0.804 0.404
O 0.170 0.656 0.548
O 0.889 0.948 0.262
O 0.830 0.344 0.452
O 0.684 0.482 0.311
O 0.544 0.628 0.166
O 0.335 0.756 0.382
O 0.191 0.907 0.240
O 0.049 0.046 0.098
O 0.904 0.186 0.952
O 0.904 0.679 0.200
O 0.766 0.047 0.406
O 0.619 0.188 0.263
O 0.477 0.329 0.123
O 0.339 0.476 0.975
O 0.805 0.382 0.166
O 0.661 0.524 0.025
O 0.668 0.750 0.372
O 0.526 0.890 0.230
O 0.381 0.038 0.090
O 0.239 0.178 0.947
O 0.239 0.673 0.190
O 0.096 0.814 0.048
O 0.951 0.954 0.902
O 0.741 0.085 0.118
O 0.597 0.229 0.975
O 0.403 0.771 0.025
O 0.259 0.915 0.882
O 0.761 0.822 0.053
O 0.619 0.962 0.910
O 0.523 0.671 0.877
CELL_PARAMETERS angstrom
-4.767 -6.856 -1.030
9.617 -2.338 2.766
-4.312 2.906 12.407

Entry 4:
! LiMg2Al (PBEsol, optimized geometry); values from VASP
! Energy relative to the elements ... 0.0 eV/f.u.
&SYSTEM
  ibrav = 0, nat = 4, ntyp = 3
/
ATOMIC_SPECIES
Mg 24.30 Mg.upf
Al 26.98 Al.upf
Li 6.94 Li.upf
ATOMIC_POSITIONS crystal
Mg 0.500 0.500 0.500
Mg 0.000 0.000 0.500
Al 0.000 0.500 0.000
Li 0.500 0.000 0.000
CELL_PARAMETERS angstrom
-0.032 2.219 -1.962
-1.093 -4.184 -3.487
-4.079 1.575 3.470

Entry 5:
! AlAs (PBEsol, optimized geometry); values from VASP
! Energy relative to the elements ... 0.3 eV/f.u.
&SYSTEM
  ibrav = 0, nat = 4, ntyp = 2
/
ATOMIC_SPECIES
As 74.92 As.upf
Al 26.98 Al.upf
ATOMIC_POSITIONS crystal
As 0.333 0.667 0.657
As 0.667 0.333 0.343
Al 0.333 0.667 0.119
Al 0.667 0.333 0.881
CELL_PARAMETERS angstrom
-0.250 -1.723 2.441
2.712 0.803 -0.997
-0.289 7.561 5.305

Entry 6:
! TbBiPd2 (PBEsol, optimized geometry); values from VASP
! Energy relative to the elements ... -3.0 eV/f.u.
&SYSTEM
  ibrav = 0, nat = 4, ntyp = 3
/
ATOMIC_SPECIES
Tb 158.93 Tb.upf
Bi 208.98 Bi.upf
Pd 106.42 Pd.upf
ATOMIC_POSITIONS crystal
Tb 0.500 0.500 0.500
Bi 0.000 0.000 0.000
Pd 0.750 0.750 0.750
Pd 0.250 0.250 0.250
CELL_PARAMETERS angstrom
4.830 0.000 0.000
2.415 4.183 0.000
2.415 1.394 3.944

Entry 7:
! YMgAsPd2 (PBEsol, optimized geometry); values from VASP
! Energy relative to the elements ... 4.7 eV/f.u.
&SYSTEM
  ibrav = 0, nat = 5, ntyp = 4
/
ATOMIC_SPECIES
Y 88.91 Y.upf
As 74.92 As.upf
Mg 24.30 Mg.upf
Pd 106.42 Pd.upf
ATOMIC_POSITIONS crystal
Y 0.000 0.000 0.000
As 0.500 0.500 0.500
Mg 0.000 0.000 0.500
Pd 0.000 0.500 0.000
Pd 0.500 0.000 0.000
CELL_PARAMETERS angstrom
-1.038 4.475 -1.529
-0.895 -1.723 -4.435
-5.421 -0.781 1.397

Entry 8:
! Fe3BAu (PBEsol, optimized geometry); values from VASP
! Energy relative to the elements ... 11.4 eV/f.u.
&SYSTEM
  ibrav = 0, nat = 5, ntyp = 3
/
ATOMIC_SPECIES
B 10.81 B.upf
Au 196.97 Au.upf
Fe 55.84 Fe.upf
ATOMIC_POSITIONS crystal
B 0.500 0.500 0.500
Au 0.000 0.000 0.000
Fe 0.000 0.500 0.000
Fe 0.000 0.000 0.500
Fe 0.500 0.000 0.000
CELL_PARAMETERS angstrom
4.640 0.000 0.000
0.000 4.640 0.000
0.000 0.000 4.640

no.,magnetization (μB per formula unit),volume (Å³/atom)
1,2.7,21.713
2,0.0,11.072
3,1.2,12.303
4,0.0,19.282
5,0.0,17.990
6,0.0,19.919
7,0.0,26.499
8,9.6,19.976